No. 1
A relaxed Pr2DyAs3Pt4 crystal. Source: Alexandria, functional PBE-GGA.

a b c (Å): 4.3198 4.3198 11.3295
angles (deg): 90.00 90.00 90.00
Fractional coordinates of all 10 atoms:
Pr1 0.0000 0.5000 0.2151
Pr2 0.5000 0.0000 0.7849
Dy1 0.0000 0.0000 0.5000
As1 0.0000 0.5000 0.8725
As2 0.5000 0.0000 0.1275
As3 0.5000 0.5000 0.5000
Pt1 0.0000 0.0000 0.0000
Pt2 0.0000 0.5000 0.6549
Pt3 0.5000 0.0000 0.3451
Pt4 0.5000 0.5000 0.0000

Computed properties:
Crystal system = tetragonal
Energy of formation from the pure elements = -0.964 eV/atom


No. 2
A relaxed TbPrRu4 crystal. Source: Alexandria, functional PBE-GGA.

a b c (Å): 5.3970 5.3970 5.3970
angles (deg): 60.00 60.00 60.00
Fractional coordinates of all 6 atoms:
Tb1 0.0000 0.0000 0.0000
Pr1 0.2500 0.2500 0.2500
Ru1 0.1242 0.6253 0.6253
Ru2 0.6253 0.1242 0.6253
Ru3 0.6253 0.6253 0.1242
Ru4 0.6253 0.6253 0.6253

Computed properties:
Crystal system = cubic
Energy of formation from the pure elements = -0.183 eV/atom


Question: Look up the energy of formation from the pure elements of the first one.
Answer: -0.964 eV/atom


Question: Which formula does entry 1 have?
Answer: Pr2DyAs3Pt4


Question: Which formula does entry 1 have?
Answer: Pr2DyAs3Pt4